Be2CoTc PBEsol optimized geometry; ΔE to the lowest computed polymorph = 0.439 eV/atom; SG = No. 122; formation energy = 26 kJ/mol of atoms
1.0
5.847 0.000 0.000
0.000 5.847 0.000
0.000 0.000 4.820
Be Co Tc
8 4 4
Cartesian
1.327 4.385 0.602
1.462 1.327 4.217
1.462 1.596 1.807
1.596 4.385 3.012
4.251 1.462 3.012
4.385 4.251 1.807
4.385 4.520 4.217
4.520 1.462 0.602
0.000 0.000 0.000
0.000 2.924 1.205
2.924 0.000 3.615
2.924 2.924 2.410
0.000 0.000 2.410
0.000 2.924 3.615
2.924 0.000 1.205
2.924 2.924 0.000



BeCoTc PBEsol optimized geometry; ΔE to the lowest computed polymorph = 0.075 eV/atom; SG = No. 107; formation energy = -17 kJ/mol of atoms
1.0
2.619 0.000 0.000
0.000 2.619 0.000
0.000 0.000 9.084
Be Co Tc
2 2 2
Cartesian
0.000 0.000 0.000
1.309 1.309 4.542
0.000 0.000 3.320
1.309 1.309 7.862
0.000 0.000 6.183
1.309 1.309 1.640